# 1
# ScPaAl4

A relaxed ScPaAl4 crystal (PBE, the Alexandria database).

```
ScPaAl4
1.0
0.000 3.860 3.860
3.860 0.000 3.860
3.860 3.860 0.000
Sc Pa Al
1 1 4
direct
0.000 0.000 0.000
0.250 0.250 0.250
0.126 0.625 0.625
0.625 0.126 0.625
0.625 0.625 0.126
0.625 0.625 0.625
```

Output
**VASP energy**: -5.445 eV/atom
**Calculated density**: 5.54 g/cm3
**Space group**: F-43m, No. 216
**Energy of formation**: -312 meV per atom
**Size of the total moment**: 0.0 μB per formula unit



# 2
# HfTlRh2

A relaxed HfTlRh2 crystal (PBE, the Alexandria database).

```
HfTlRh2
1.0
3.366 0.000 0.000
0.000 3.366 0.000
0.000 0.000 6.266
Hf Tl Rh
1 1 2
direct
0.000 0.000 0.000
0.000 0.000 0.500
0.500 0.500 0.234
0.500 0.500 0.766
```

Output
**VASP energy**: -7.277 eV/atom
**Calculated density**: 13.77 g/cm3
**Space group**: P4/mmm, No. 123
**Energy of formation**: -522 meV per atom
**Size of the total moment**: 0.0 μB per formula unit



# 3
# Na3Ge

A relaxed Na3Ge crystal (PBE, the Alexandria database).

```
Na3Ge
1.0
-2.034 4.838 2.568
2.034 -4.838 2.568
2.034 4.838 -2.568
Na Ge
3 1
direct
0.000 0.000 0.000
0.259 0.499 0.760
0.739 0.499 0.240
0.501 0.001 0.500
```

Output
**VASP energy**: -2.150 eV/atom
**Calculated density**: 2.33 g/cm3
**Space group**: Imm2, No. 44
**Energy of formation**: -7 meV per atom
**Size of the total moment**: 0.0 μB per formula unit



# 4
# Pr4BPI2

A relaxed Pr4BPI2 crystal (PBE, the Alexandria database).

```
Pr4BPI2
1.0
7.236 0.000 0.000
0.000 4.174 0.000
-2.401 0.000 7.831
Pr B P I
4 1 1 2
direct
0.211 0.000 0.184
0.256 0.500 0.812
0.744 0.500 0.188
0.789 0.000 0.816
0.000 0.500 0.000
0.500 0.000 0.000
0.000 0.000 0.500
0.500 0.500 0.500
```

Output
**Formation energy (no corrections)**: -22.84 kcal/mol of atoms
**VASP energy**: -5.279 eV/atom
**Calculated density**: 6.03 g/cm3
**Space group**: P2/m, No. 10
**Size of the total moment**: 0.0 μB per formula unit



# 5
# TeIrRh3

A relaxed TeIrRh3 crystal (PBE, the Alexandria database).

```
TeIrRh3
1.0
4.752 0.000 0.000
0.000 4.752 0.000
0.000 0.000 4.752
Te Ir Rh
1 1 3
direct
0.000 0.000 0.000
0.500 0.500 0.500
0.000 0.500 0.500
0.500 0.000 0.500
0.500 0.500 0.000
```

Output
**Distance to the lowest polymorph of the same formula**: 0 meV/atom
**Formation energy (no corrections)**: 26.35 kcal/mol of atoms
**VASP energy**: -5.669 eV/atom
**Calculated density**: 9.72 g/cm3
**Space group**: Pm-3m, No. 221
**Size of the total moment**: 0.0 μB per formula unit



# 6
# Nd3Dy4In2

A relaxed Nd3Dy4In2 crystal (PBE, the Alexandria database).

```
Nd3Dy4In2
1.0
7.622 -2.490 0.000
7.622 2.490 0.000
-2.498 0.000 7.276
Nd Dy In
3 4 2
direct
0.000 0.000 0.000
0.115 0.115 0.673
0.885 0.885 0.327
0.221 0.221 0.313
0.442 0.442 0.671
0.558 0.558 0.329
0.779 0.779 0.687
0.340 0.340 0.000
0.660 0.660 0.000
```

Output
**VASP energy**: -4.407 eV/atom
**Calculated density**: 7.89 g/cm3
**Space group**: C2/m, No. 12
**Energy of formation**: -164 meV per atom
**Size of the total moment**: 0.0 μB per formula unit



# 7
# K2BaBi2Pb2

A relaxed K2BaBi2Pb2 crystal (PBE, the Alexandria database).

```
K2BaBi2Pb2
1.0
2.788 1.610 10.310
-2.788 1.610 10.310
0.000 -3.219 10.310
K Ba Bi Pb
2 1 2 2
direct
0.138 0.138 0.138
0.862 0.862 0.862
0.000 0.000 0.000
0.263 0.263 0.263
0.737 0.737 0.737
0.408 0.408 0.408
0.592 0.592 0.592
```

Output
**VASP energy**: -3.127 eV/atom
**Calculated density**: 6.27 g/cm3
**Space group**: R-3m, No. 166
**Energy of formation**: -370 meV per atom
**Size of the total moment**: 0.0 μB per formula unit



# 8
# LaCrCu2Os

A relaxed LaCrCu2Os crystal (PBE, the Alexandria database).

```
LaCrCu2Os
1.0
4.790 0.000 0.000
0.000 4.790 0.000
0.000 0.000 4.708
La Cr Cu Os
1 1 2 1
direct
0.000 0.000 0.000
0.000 0.000 0.500
0.000 0.500 0.000
0.500 0.000 0.000
0.500 0.500 0.500
```

Output
**VASP energy**: -4.505 eV/atom
**Calculated density**: 7.81 g/cm3
**Space group**: P4/mmm, No. 123
**Energy of formation**: 2289 meV per atom
**Size of the total moment**: 4.9 μB per formula unit



# 9
# Rb3MgNi

A relaxed Rb3MgNi crystal (PBE, the Alexandria database).

```
Rb3MgNi
1.0
6.456 0.000 0.000
0.000 6.456 0.000
0.000 0.000 6.456
Rb Mg Ni
3 1 1
direct
0.000 0.000 0.500
0.000 0.500 0.000
0.500 0.000 0.000
0.500 0.500 0.500
0.000 0.000 0.000
```

Output
**Distance to the lowest polymorph of the same formula**: 0 meV/atom
**VASP energy**: -1.453 eV/atom
**Calculated density**: 2.09 g/cm3
**Space group**: Pm-3m, No. 221
**Energy of formation**: 602 meV per atom
**Size of the total moment**: 0.0 μB per formula unit



# 10
# TcSbTe2

A relaxed TcSbTe2 crystal (PBE, the Alexandria database).

```
TcSbTe2
1.0
0.000 4.143 4.171
2.922 0.000 4.171
2.922 4.143 0.000
Tc Sb Te
1 1 2
direct
0.000 0.000 0.000
0.500 0.500 0.500
0.000 0.500 0.500
0.500 0.000 0.000
```

Output
**Formation energy (no corrections)**: 12.33 kcal/mol of atoms
**VASP energy**: -4.658 eV/atom
**Calculated density**: 7.81 g/cm3
**Space group**: Fmmm, No. 69
**Size of the total moment**: 1.3 μB per formula unit



# 11
# BaY2OsO8

A relaxed BaY2OsO8 crystal (PBE, the Alexandria database).

```
BaY2OsO8
1.0
3.536 -3.782 0.000
3.536 3.782 0.000
0.000 0.000 7.229
Ba Y Os O
1 2 1 8
direct
0.000 0.000 0.000
0.500 0.500 0.237
0.500 0.500 0.763
0.000 0.000 0.500
0.189 0.189 0.317
0.189 0.189 0.683
0.248 0.752 0.500
0.330 0.670 0.000
0.670 0.330 0.000
0.752 0.248 0.500
0.811 0.811 0.317
0.811 0.811 0.683
```

Output
**Formation energy (no corrections)**: -51.21 kcal/mol of atoms
**VASP energy**: -7.699 eV/atom
**Calculated density**: 5.44 g/cm3
**Space group**: Cmmm, No. 65
**Size of the total moment**: 0.0 μB per formula unit



# 12
# In3GaSb

A relaxed In3GaSb crystal (PBE, the Alexandria database).

```
In3GaSb
1.0
5.302 0.000 0.000
0.000 5.302 0.000
0.000 0.000 5.302
In Ga Sb
3 1 1
direct
0.000 0.000 0.500
0.000 0.500 0.000
0.500 0.000 0.000
0.000 0.000 0.000
0.500 0.500 0.500
```

Output
**Distance to the lowest polymorph of the same formula**: 0 meV/atom
**Formation energy (no corrections)**: 5.97 kcal/mol of atoms
**VASP energy**: -2.814 eV/atom
**Calculated density**: 5.97 g/cm3
**Space group**: Pm-3m, No. 221
**Size of the total moment**: 0.0 μB per formula unit



# 13
# Rb2ReO4

A relaxed Rb2ReO4 crystal (PBE, the Alexandria database).

```
Rb2ReO4
1.0
-1.992 1.992 7.236
1.992 -1.992 7.236
1.992 1.992 -7.236
Rb Re O
2 1 4
direct
0.154 0.154 0.000
0.846 0.846 0.000
0.500 0.500 0.000
0.000 0.500 0.500
0.371 0.371 0.000
0.500 0.000 0.500
0.629 0.629 0.000
```

Output
**Distance to the lowest polymorph of the same formula**: 28 meV/atom
**Formation energy (no corrections)**: -38.34 kcal/mol of atoms
**VASP energy**: -6.551 eV/atom
**Calculated density**: 6.09 g/cm3
**Space group**: I4/mmm, No. 139
**Size of the total moment**: 0.5 μB per formula unit



# 14
# SrBiAu3

A relaxed SrBiAu3 crystal (PBE, the Alexandria database).

```
SrBiAu3
1.0
5.456 0.000 0.000
0.000 5.456 0.000
0.000 0.000 5.456
Sr Bi Au
1 1 3
direct
0.000 0.000 0.000
0.500 0.500 0.500
0.000 0.500 0.500
0.500 0.000 0.500
0.500 0.500 0.000
```

Output
**Distance to the lowest polymorph of the same formula**: 358 meV/atom
**VASP energy**: -3.142 eV/atom
**Calculated density**: 9.08 g/cm3
**Space group**: Pm-3m, No. 221
**Energy of formation**: -63 meV per atom
**Size of the total moment**: 0.0 μB per formula unit



# 15
# NaSnTeCl

A relaxed NaSnTeCl crystal (PBE, the Alexandria database).

```
NaSnTeCl
1.0
2.211 1.276 16.633
-2.211 1.276 16.633
0.000 -2.553 16.633
Na Sn Te Cl
2 2 2 2
direct
0.140 0.140 0.140
0.860 0.860 0.860
0.304 0.304 0.304
0.696 0.696 0.696
0.395 0.395 0.395
0.605 0.605 0.605
0.198 0.198 0.198
0.802 0.802 0.802
```

Output
**Formation energy (no corrections)**: -21.33 kcal/mol of atoms
**VASP energy**: -3.502 eV/atom
**Calculated density**: 3.59 g/cm3
**Space group**: R-3m, No. 166
**Size of the total moment**: 0.0 μB per formula unit



# 16
# YMg2Zn

A relaxed YMg2Zn crystal (PBE, the Alexandria database).

```
YMg2Zn
1.0
-2.214 2.214 4.843
2.214 -2.214 4.843
2.214 2.214 -4.843
Y Mg Zn
1 2 1
direct
0.000 0.000 0.000
0.250 0.750 0.500
0.750 0.250 0.500
0.500 0.500 0.000
```

Output
**VASP energy**: -2.751 eV/atom
**Calculated density**: 3.55 g/cm3
**Space group**: I4/mmm, No. 139
**Energy of formation**: -20 meV per atom
**Size of the total moment**: 0.0 μB per formula unit



# 17
# TbZrI

A relaxed TbZrI crystal (PBE, the Alexandria database).

```
TbZrI
1.0
2.776 -2.776 0.000
2.776 2.776 0.000
-0.020 0.000 12.320
Tb Zr I
2 2 2
direct
0.249 0.249 0.291
0.751 0.751 0.709
0.250 0.250 0.551
0.750 0.750 0.449
0.251 0.251 0.850
0.749 0.749 0.150
```

Output
**Formation energy (no corrections)**: -12.28 kcal/mol of atoms
**VASP energy**: -5.442 eV/atom
**Calculated density**: 6.59 g/cm3
**Space group**: C2/m, No. 12
**Size of the total moment**: 0.0 μB per formula unit



# 18
# SrLaCo2Ir

A relaxed SrLaCo2Ir crystal (PBE, the Alexandria database).

```
SrLaCo2Ir
1.0
4.740 0.000 0.000
0.000 4.740 0.000
0.000 0.000 5.236
Sr La Co Ir
1 1 2 1
direct
0.000 0.000 0.000
0.500 0.500 0.000
0.000 0.500 0.500
0.500 0.000 0.500
0.000 0.000 0.500
```

Output
**VASP energy**: -5.200 eV/atom
**Calculated density**: 7.57 g/cm3
**Space group**: P4/mmm, No. 123
**Energy of formation**: 736 meV per atom
**Size of the total moment**: 0.0 μB per formula unit



# 19
# LiTi2Te

A relaxed LiTi2Te crystal (PBE, the Alexandria database).

```
LiTi2Te
1.0
-3.713 3.713 2.732
3.713 -3.713 2.732
3.713 3.713 -2.732
Li Ti Te
2 4 2
direct
0.000 0.000 0.000
0.750 0.250 0.500
0.125 0.125 0.500
0.375 0.875 0.000
0.625 0.625 0.500
0.875 0.375 0.000
0.250 0.750 0.500
0.500 0.500 0.000
```

Output
**Formation energy (no corrections)**: 2.71 kcal/mol of atoms
**VASP energy**: -5.094 eV/atom
**Calculated density**: 5.08 g/cm3
**Space group**: I-42d, No. 122
**Size of the total moment**: 0.0 μB per formula unit



# 20
# RuBrO3

A relaxed RuBrO3 crystal (PBE, the Alexandria database).

```
RuBrO3
1.0
3.885 0.000 0.000
0.000 3.885 0.000
0.000 0.000 3.885
Ru Br O
1 1 3
direct
0.000 0.000 0.000
0.500 0.500 0.500
0.000 0.000 0.500
0.000 0.500 0.000
0.500 0.000 0.000
```

Output
**Formation energy (no corrections)**: -2.85 kcal/mol of atoms
**VASP energy**: -5.288 eV/atom
**Calculated density**: 6.48 g/cm3
**Space group**: Pm-3m, No. 221
**Size of the total moment**: 0.0 μB per formula unit



# 21
# AcTeS

A relaxed AcTeS crystal (PBE, the Alexandria database).

```
AcTeS
1.0
6.844 0.000 0.000
0.000 8.001 0.000
-1.141 0.000 8.419
Ac Te S
4 4 4
direct
0.023 0.000 0.200
0.317 0.461 0.378
0.683 0.961 0.622
0.977 0.500 0.800
0.104 0.168 0.576
0.465 0.577 0.776
0.535 0.077 0.224
0.896 0.668 0.424
0.051 0.347 0.108
0.383 0.840 0.348
0.617 0.340 0.652
0.949 0.847 0.892
```

Output
**Distance to the lowest polymorph of the same formula**: 245 meV/atom
**Formation energy (no corrections)**: -32.63 kcal/mol of atoms
**VASP energy**: -5.208 eV/atom
**Calculated density**: 5.57 g/cm3
**Space group**: P2_1, No. 4
**Size of the total moment**: 0.0 μB per formula unit



# 22
# HgPtSe2

A relaxed HgPtSe2 crystal (PBE, the Alexandria database).

```
HgPtSe2
1.0
1.979 1.142 7.639
-1.979 1.142 7.639
0.000 -2.285 7.639
Hg Pt Se
1 1 2
direct
0.000 0.000 0.000
0.423 0.423 0.423
0.129 0.129 0.129
0.607 0.607 0.607
```

Output
**Distance to the lowest polymorph of the same formula**: 386 meV/atom
**Formation energy (no corrections)**: 2.16 kcal/mol of atoms
**VASP energy**: -3.234 eV/atom
**Calculated density**: 8.87 g/cm3
**Space group**: R3m, No. 160
**Size of the total moment**: 0.0 μB per formula unit



# 23
# K2MnS4

A relaxed K2MnS4 crystal (PBE, the Alexandria database).

```
K2MnS4
1.0
-2.362 2.362 7.910
2.362 -2.362 7.910
2.362 2.362 -7.910
K Mn S
2 1 4
direct
0.148 0.148 0.000
0.852 0.852 0.000
0.500 0.500 0.000
0.000 0.500 0.500
0.356 0.356 0.000
0.500 0.000 0.500
0.644 0.644 0.000
```

Output
**Formation energy (no corrections)**: -11.66 kcal/mol of atoms
**VASP energy**: -4.488 eV/atom
**Calculated density**: 2.46 g/cm3
**Space group**: I4/mmm, No. 139
**Size of the total moment**: 5.2 μB per formula unit



# 24
# Be3PPd

A relaxed Be3PPd crystal (PBE, the Alexandria database).

```
Be3PPd
1.0
4.046 0.000 0.000
0.000 4.046 0.000
0.000 0.000 4.046
Be P Pd
3 1 1
direct
0.000 0.000 0.500
0.000 0.500 0.000
0.500 0.000 0.000
0.000 0.000 0.000
0.500 0.500 0.500
```

Output
**Distance to the lowest polymorph of the same formula**: 0 meV/atom
**VASP energy**: -3.875 eV/atom
**Calculated density**: 4.12 g/cm3
**Space group**: Pm-3m, No. 221
**Energy of formation**: 481 meV per atom
**Size of the total moment**: 0.0 μB per formula unit



# 25
# Cr

A relaxed Cr crystal (PBE, the Alexandria database).

```
Cr
1.0
-3.138 3.138 3.138
3.138 -3.138 3.138
3.138 3.138 -3.138
Cr
6
direct
0.250 0.500 0.750
0.250 0.750 0.500
0.500 0.250 0.750
0.500 0.750 0.250
0.750 0.250 0.500
0.750 0.500 0.250
```

Output
**Distance to the lowest polymorph of the same formula**: 2342 meV/atom
**VASP energy**: -7.282 eV/atom
**Calculated density**: 4.19 g/cm3
**Space group**: Im-3m, No. 229
**Energy of formation**: 2342 meV per atom
**Size of the total moment**: 0.0 μB per formula unit



# 26
# Al2BPbS6

A relaxed Al2BPbS6 crystal (PBE, the Alexandria database).

```
Al2BPbS6
1.0
6.175 -6.192 0.000
6.175 6.192 0.000
-3.553 0.000 6.368
Al B Pb S
4 2 2 12
direct
0.095 0.262 0.082
0.262 0.095 0.582
0.738 0.905 0.418
0.905 0.738 0.918
0.319 0.681 0.250
0.681 0.319 0.750
0.377 0.623 0.750
0.623 0.377 0.250
0.077 0.179 0.346
0.158 0.666 0.990
0.179 0.077 0.846
0.308 0.469 0.292
0.334 0.842 0.510
0.469 0.308 0.792
0.531 0.692 0.208
0.666 0.158 0.490
0.692 0.531 0.708
0.821 0.923 0.154
0.842 0.334 0.010
0.923 0.821 0.654
```

Output
**Formation energy (no corrections)**: -12.99 kcal/mol of atoms
**VASP energy**: -4.827 eV/atom
**Calculated density**: 3.17 g/cm3
**Space group**: C2/c, No. 15
**Size of the total moment**: 1.0 μB per formula unit